[1]
Here is a crystal of ScBe2W relaxed with PBEsol from Alexandria via LeMat-Bulk. Energies are from meta-GGA SCAN.

Output
The volume is 13.10 Å³/atom. The value obtained for the density of states at the Fermi level is 2.4 states/eV/f.u. As for the space-group type: No. 123. The value obtained for the electronic total energy is -91.8 eV/f.u. Its total magnetization is 0.000 μB/cell. For the formation energy, the calculation gives 213 meV per atom.

The structure in POSCAR format:
```
ScBe2W
1.0
-2.296 0.283 -2.415
-0.849 -3.850 0.355
-2.750 0.857 2.715
Sc Be W
1 2 1
Cartesian
-2.947 -1.355 0.327
-0.424 -1.925 0.178
-1.375 0.428 1.357
-1.148 0.142 -1.208
```

[2]
Here is a crystal of ScBe2W relaxed with PBEsol from Alexandria via LeMat-Bulk. Energies are from meta-GGA SCAN.

Output
The volume is 13.33 Å³/atom. The value obtained for the density of states at the Fermi level is 1.7 states/eV/f.u. As for the space-group type: No. 47. The value obtained for the electronic total energy is -92.4 eV/f.u. Its total magnetization is 0.000 μB/cell. For the formation energy, the calculation gives 51 meV per atom.

The structure in POSCAR format:
```
ScBe2W
1.0
2.831 0.000 0.000
0.000 3.390 0.000
0.000 0.000 5.555
Be W Sc
2 1 1
Cartesian
0.000 0.000 1.650
0.000 0.000 3.905
1.416 1.695 2.778
1.416 1.695 0.000
```

[3]
Here is a crystal of ScBeW2 relaxed with PBEsol from Alexandria via LeMat-Bulk. Energies are from meta-GGA SCAN.

Output
The volume is 15.06 Å³/atom. The value obtained for the density of states at the Fermi level is 2.1 states/eV/f.u. As for the space-group type: No. 99. The value obtained for the electronic total energy is -156.8 eV/f.u. Its total magnetization is 0.000 μB/cell. For the formation energy, the calculation gives 294 meV per atom.

The structure in POSCAR format:
```
ScBeW2
1.0
2.699 0.000 0.000
0.000 2.699 0.000
0.000 0.000 8.273
Sc Be W
1 1 2
Cartesian
1.349 1.349 5.984
0.000 0.000 4.014
1.349 1.349 2.348
0.000 0.000 0.064
```

[4]
Here is a crystal of ScBe2Zn relaxed with PBEsol from Alexandria via LeMat-Bulk. Energies are from meta-GGA SCAN.

Output
The volume is 12.78 Å³/atom. The value obtained for the density of states at the Fermi level is 1.6 states/eV/f.u. As for the space-group type: No. 99. The value obtained for the electronic total energy is -36.6 eV/f.u. Its total magnetization is 0.001 μB/cell. For the formation energy, the calculation gives -24 meV per atom.

The structure in POSCAR format:
```
ScBe2Zn
1.0
-1.796 2.028 0.710
-1.743 -0.834 -2.027
-2.924 -4.055 4.184
Be Zn Sc
2 1 1
Cartesian
-2.333 -0.184 0.147
-0.082 -0.114 0.117
-4.112 -2.651 2.693
-1.398 -1.939 2.001
```

[5]
Here is a crystal of ScBe2Zn relaxed with PBEsol from Alexandria via LeMat-Bulk. Energies are from meta-GGA SCAN.

Output
The volume is 13.24 Å³/atom. The value obtained for the density of states at the Fermi level is 1.9 states/eV/f.u. As for the space-group type: No. 166. The value obtained for the electronic total energy is -34.7 eV/f.u. Its total magnetization is 0.000 μB/cell. For the formation energy, the calculation gives 451 meV per atom.

The structure in POSCAR format:
```
ScBe2Zn
1.0
-2.364 0.626 -1.048
-2.191 -1.278 0.802
-2.700 5.691 6.110
Zn Be Sc
1 2 1
Cartesian
0.000 0.000 0.000
-5.468 3.913 4.539
-1.787 1.125 1.325
-3.627 2.519 2.932
```

[6]
Here is a crystal of Zr2ScBe relaxed with PBEsol from Alexandria via LeMat-Bulk. Energies are from meta-GGA SCAN.

Output
The volume is 18.96 Å³/atom. The value obtained for the density of states at the Fermi level is 3.9 states/eV/f.u. As for the space-group type: No. 99. The value obtained for the electronic total energy is -80.0 eV/f.u. Its total magnetization is 0.048 μB/cell. For the formation energy, the calculation gives -7 meV per atom.

The structure in POSCAR format:
```
Zr2ScBe
1.0
3.127 0.000 0.000
0.000 3.127 0.000
0.000 0.000 7.758
Sc Zr Be
1 2 1
Cartesian
1.563 1.563 5.458
1.563 1.563 2.272
0.000 0.000 0.043
0.000 0.000 3.865
```

[7]
Here is a crystal of Zr2ScBe relaxed with PBEsol from Alexandria via LeMat-Bulk. Energies are from meta-GGA SCAN.

Output
The volume is 18.74 Å³/atom. The value obtained for the density of states at the Fermi level is 3.8 states/eV/f.u. As for the space-group type: No. 139. The value obtained for the electronic total energy is -79.5 eV/f.u. Its total magnetization is 0.000 μB/cell. For the formation energy, the calculation gives 123 meV per atom.

The structure in POSCAR format:
```
Zr2ScBe
1.0
4.156 0.000 0.000
0.000 4.156 0.000
-2.078 -2.078 4.340
Sc Be Zr
1 1 2
Cartesian
0.000 0.000 0.000
2.078 2.078 0.000
2.078 0.000 2.170
0.000 2.078 2.170
```

[8]
Here is a crystal of Be5Se relaxed with PBEsol from Alexandria via LeMat-Bulk. Energies are from meta-GGA SCAN.

Output
The volume is 10.42 Å³/atom. The value obtained for the density of states at the Fermi level is 1.5 states/eV/f.u. As for the space-group type: No. 189. The value obtained for the electronic total energy is -39.2 eV/f.u. For the uncorrected formation energy, the calculation gives 449 meV per atom. Its total magnetization is 0.000 μB/cell.

The structure in POSCAR format:
```
Be5Se
1.0
3.599 0.000 0.000
0.000 4.478 0.000
0.000 -2.239 3.878
Be Se
5 1
Cartesian
0.000 -1.175 2.035
0.000 1.064 1.844
0.000 2.349 0.000
1.799 0.000 2.586
1.799 2.239 1.293
1.799 0.000 0.000
```

[9]
Here is a crystal of BeSi2Se relaxed with PBEsol from Alexandria via LeMat-Bulk. Energies are from meta-GGA SCAN.

Output
The volume is 15.93 Å³/atom. The value obtained for the density of states at the Fermi level is 1.4 states/eV/f.u. As for the space-group type: No. 123. The value obtained for the electronic total energy is -42.4 eV/f.u. For the uncorrected formation energy, the calculation gives 515 meV per atom. Its total magnetization is 0.000 μB/cell.

The structure in POSCAR format:
```
BeSi2Se
1.0
3.382 0.000 0.000
0.000 3.382 0.000
0.000 0.000 5.571
Si Se Be
2 1 1
Cartesian
1.691 0.000 0.000
0.000 1.691 0.000
0.000 0.000 2.786
1.691 1.691 2.786
```

[10]
Here is a crystal of BeSi2Se relaxed with PBEsol from Alexandria via LeMat-Bulk. Energies are from meta-GGA SCAN.

Output
The volume is 17.96 Å³/atom. The value obtained for the density of states at the Fermi level is 0.8 states/eV/f.u. As for the space-group type: No. 6. The value obtained for the electronic total energy is -43.4 eV/f.u. For the uncorrected formation energy, the calculation gives 267 meV per atom. Its total magnetization is 0.000 μB/cell.

The structure in POSCAR format:
```
BeSi2Se
1.0
3.594 0.000 0.000
0.000 3.631 -0.010
0.000 -0.029 5.504
Se Si Be
1 2 1
Cartesian
1.797 1.206 3.673
1.797 3.172 1.963
0.000 3.236 0.507
0.000 1.419 2.090
```

[11]
Here is a crystal of BeSi2Se relaxed with PBEsol from Alexandria via LeMat-Bulk. Energies are from meta-GGA SCAN.

Output
The volume is 14.54 Å³/atom. The value obtained for the density of states at the Fermi level is 1.4 states/eV/f.u. As for the space-group type: No. 123. The value obtained for the electronic total energy is -41.7 eV/f.u. For the uncorrected formation energy, the calculation gives 701 meV per atom. Its total magnetization is 0.000 μB/cell.

The structure in POSCAR format:
```
BeSi2Se
1.0
-2.832 -0.700 1.324
1.460 -0.659 2.774
-0.590 5.405 1.595
Si Se Be
2 1 1
Cartesian
-0.125 1.148 0.339
-0.465 4.257 1.257
-0.981 2.023 2.847
-0.686 -0.680 2.049
```

[12]
Here is a crystal of BeSiSe2 relaxed with PBEsol from Alexandria via LeMat-Bulk. Energies are from meta-GGA SCAN.

Output
The volume is 23.39 Å³/atom. As for the space-group type: No. 166. The value obtained for the electronic total energy is -54.3 eV/f.u. For the uncorrected formation energy, the calculation gives 62 meV per atom. Its total magnetization is 0.000 μB/cell.

The structure in POSCAR format:
```
BeSiSe2
1.0
-1.811 1.074 3.387
0.210 -2.359 3.209
5.106 2.787 4.194
Se Si Be
2 1 1
Cartesian
3.432 1.833 3.602
0.072 -0.330 7.188
1.752 0.751 5.395
0.000 0.000 0.000
```

[13]
Here is a crystal of BeSnSe2 relaxed with PBEsol from Alexandria via LeMat-Bulk. Energies are from meta-GGA SCAN.

Output
The volume is 19.53 Å³/atom. The value obtained for the density of states at the Fermi level is 1.4 states/eV/f.u. As for the space-group type: No. 225. The value obtained for the electronic total energy is -78.9 eV/f.u. For the uncorrected formation energy, the calculation gives 372 meV per atom. Its total magnetization is 0.000 μB/cell.

The structure in POSCAR format:
```
BeSnSe2
1.0
-1.201 3.652 -2.872
-4.177 2.275 0.632
-0.056 4.482 1.714
Be Sn Se
1 1 2
Cartesian
0.000 0.000 0.000
-2.717 5.205 -0.263
-1.359 2.602 -0.132
-4.076 7.807 -0.395
```

[14]
Here is a crystal of Sr2BeSe relaxed with PBEsol from Alexandria via LeMat-Bulk. Energies are from meta-GGA SCAN.

Output
The volume is 32.10 Å³/atom. The value obtained for the density of states at the Fermi level is 2.0 states/eV/f.u. As for the space-group type: No. 122. The value obtained for the electronic total energy is -70.8 eV/f.u. For the uncorrected formation energy, the calculation gives -457 meV per atom. Its total magnetization is 0.068 μB/cell.

The structure in POSCAR format:
```
Sr2BeSe
1.0
6.935 0.045 0.077
-2.308 6.540 -0.077
-2.308 -3.296 5.649
Se Sr Be
2 4 2
Cartesian
1.160 4.103 1.393
0.000 0.000 0.000
1.694 1.269 2.075
-0.528 2.830 4.967
5.161 -1.259 3.598
-1.688 3.737 0.658
1.160 -0.815 4.256
-2.308 1.622 2.786
```

[15]
Here is a crystal of SrBeSe2 relaxed with PBEsol from Alexandria via LeMat-Bulk. Energies are from meta-GGA SCAN.

Output
The volume is 23.16 Å³/atom. As for the space-group type: No. 10. The value obtained for the electronic total energy is -71.3 eV/f.u. For the uncorrected formation energy, the calculation gives -1129 meV per atom. Its total magnetization is 0.000 μB/cell.

The structure in POSCAR format:
```
SrBeSe2
1.0
-0.891 1.367 -3.064
-1.932 -3.349 -0.932
-5.218 3.148 2.922
Se Be Sr
2 1 1
Cartesian
-2.044 -0.763 0.254
-5.107 0.562 1.736
-1.412 -0.991 -1.998
-3.055 2.258 -0.071
```

Mass density across the listed records, respectively: 7.8; 7.7; 11.6; 4.2; 4.0; 5.2; 5.2; 3.3; 3.8; 3.3; 4.1; 3.5; 6.1; 3.4; 4.6 Mg/m³.